Compound: KSO3
Source: the Alexandria database
Functional: PBE
Structure: relaxed

Values from the calculation:
For the energy, the calculation gives -11.00 eV/cell. As for the crystal system: cubic. The uncorrected formation energy is 1.820 eV/atom.

POSCAR file:
```
KSO3
1.0
4.2320 0.0000 0.0000
0.0000 4.2320 0.0000
0.0000 0.0000 4.2320
K S O
1 1 3
direct
0.0000 0.0000 0.0000
0.5000 0.5000 0.5000
0.0000 0.0000 0.5000
0.0000 0.5000 0.0000
0.5000 0.0000 0.0000
```

=====

Compound: RbDy2I6
Source: the Alexandria database
Functional: PBE
Structure: relaxed

Values from the calculation:
For the energy, the calculation gives -31.35 eV/cell. As for the crystal system: trigonal. The uncorrected formation energy is -1.320 eV/atom.

POSCAR file:
```
RbDy2I6
1.0
7.6842 0.0000 0.0000
-3.8421 6.6547 0.0000
0.0000 0.0000 8.7318
Rb Dy I
1 2 6
direct
0.0000 0.0000 0.0000
0.3333 0.6667 0.5000
0.6667 0.3333 0.5000
0.0000 0.3550 0.7071
0.0000 0.6450 0.2929
0.3550 0.0000 0.7071
0.3550 0.3550 0.2929
0.6450 0.0000 0.2929
0.6450 0.6450 0.7071
```

=====

Compound: BaCe4EuO12
Source: the Alexandria database
Functional: PBE
Structure: relaxed

Values from the calculation:
For the energy, the calculation gives -143.56 eV/cell. As for the crystal system: orthorhombic. The uncorrected formation energy is -2.674 eV/atom.

POSCAR file:
```
BaCe4EuO12
1.0
8.7621 0.0000 0.0000
0.0000 4.5271 4.1791
0.0000 -4.5271 4.1791
Ba Ce Eu O
1 4 1 12
direct
0.0000 0.0000 0.0000
0.2554 0.0836 0.5425
0.2554 0.5425 0.0836
0.7446 0.0836 0.5425
0.7446 0.5425 0.0836
0.5000 0.6165 0.6165
0.0000 0.0784 0.5441
0.0000 0.5441 0.0784
0.2352 0.2447 0.8704
0.2352 0.8704 0.2447
0.2612 0.7585 0.7585
0.3184 0.4031 0.4031
0.5000 0.5548 0.9769
0.5000 0.9769 0.5548
0.6816 0.4031 0.4031
0.7388 0.7585 0.7585
0.7648 0.2447 0.8704
0.7648 0.8704 0.2447
```